Material: BaZr2W
Method: DFT, PBE-GGA
State: optimized geometry

**Distance to the lowest polymorph of the same formula**: 230 meV/atom
**ΔH_f (0 K)**: 55 kJ per mole of atoms
**Magnetic moment**: 0.00 μB per formula unit

Lattice parameters (Å, degrees): 10.5419 10.5419 10.5419 18.59 18.59 18.59
Atoms (fractional coordinates):
Zr 0.0196 0.0196 0.0196
Zr 0.4804 0.4804 0.4804
W 0.7500 0.7500 0.7500
Ba 0.2500 0.2500 0.2500